# Ac6SiGe

A relaxed structure of Ac6SiGe (PBE-GGA, Alexandria via LeMat-Bulk).

* D(E_F): 13.331 states/eV/cell
* energy relative to the elements, uncorrected: -0.15 eV/atom
* space-group type: P-1

The structure in POSCAR format:
```
Ac6SiGe
1.0
-6.369 -3.581 1.532
-2.367 -5.541 -4.473
0.724 -7.743 2.909
Ac Ge Si
6 1 1
Direct
0.577 0.248 0.248 Ac
0.249 0.932 0.248 Ac
0.928 0.576 0.248 Ac
0.423 0.752 0.752 Ac
0.751 0.068 0.752 Ac
0.072 0.424 0.752 Ac
0.500 0.500 0.500 Ge
0.000 0.000 0.000 Si
```

# Ac5SiGe

A relaxed structure of Ac5SiGe (PBE-GGA, Alexandria via LeMat-Bulk).

* D(E_F): 16.089 states/eV/cell
* energy relative to the elements, uncorrected: -0.10 eV/atom
* space-group type: C2/c

The structure in POSCAR format:
```
Ac5SiGe
1.0
0.366 6.328 4.549
-5.151 5.142 -2.809
-8.626 -1.147 6.652
Ge Ac Si
2 10 2
Direct
0.000 0.000 0.000 Ge
0.000 0.000 0.500 Ge
0.866 0.134 0.250 Ac
0.668 0.848 0.658 Ac
0.385 0.758 0.031 Ac
0.615 0.242 0.969 Ac
0.758 0.385 0.531 Ac
0.152 0.332 0.842 Ac
0.332 0.152 0.342 Ac
0.134 0.866 0.750 Ac
0.848 0.668 0.158 Ac
0.242 0.615 0.469 Ac
0.535 0.465 0.250 Si
0.465 0.535 0.750 Si
```

# Ac4SiGe4

A relaxed structure of Ac4SiGe4 (PBE-GGA, Alexandria via LeMat-Bulk).

* D(E_F): 17.562 states/eV/cell
* energy relative to the elements, uncorrected: -0.32 eV/atom
* space-group type: P4_2/n

The structure in POSCAR format:
```
Ac4SiGe4
1.0
-2.040 -3.815 -4.706
7.914 1.294 -4.479
3.626 -7.255 4.310
Ge Si Ac
8 2 8
Direct
0.166 0.723 0.619 Ge
0.166 0.277 0.381 Ge
0.334 0.777 0.881 Ge
0.834 0.619 0.277 Ge
0.666 0.881 0.223 Ge
0.834 0.381 0.723 Ge
0.334 0.223 0.119 Ge
0.666 0.119 0.777 Ge
0.000 0.000 0.000 Si
0.500 0.500 0.500 Si
0.331 0.432 0.801 Ac
0.169 0.932 0.301 Ac
0.169 0.068 0.699 Ac
0.331 0.568 0.199 Ac
0.669 0.801 0.568 Ac
0.669 0.199 0.432 Ac
0.831 0.699 0.932 Ac
0.831 0.301 0.068 Ac
```

# Ac8SiGe2

A relaxed structure of Ac8SiGe2 (PBE-GGA, Alexandria via LeMat-Bulk).

* D(E_F): 10.723 states/eV/cell
* energy relative to the elements, uncorrected: -0.28 eV/atom
* space-group type: C2/m

The structure in POSCAR format:
```
Ac8SiGe2
1.0
-4.715 -2.205 -0.880
1.627 -5.439 4.914
-2.055 8.057 6.653
Ac Ge Si
8 2 1
Direct
0.339 0.006 0.679 Ac
0.410 0.548 0.820 Ac
0.971 0.220 0.942 Ac
0.214 0.342 0.427 Ac
0.029 0.780 0.058 Ac
0.590 0.452 0.180 Ac
0.786 0.658 0.573 Ac
0.661 0.994 0.321 Ac
0.813 0.240 0.625 Ge
0.187 0.760 0.375 Ge
0.500 0.000 0.000 Si
```

# Ac3SiGe2

A relaxed structure of Ac3SiGe2 (PBE-GGA, Alexandria via LeMat-Bulk).

* D(E_F): 19.126 states/eV/cell
* energy relative to the elements, uncorrected: -0.60 eV/atom
* space-group type: Pnma

The structure in POSCAR format:
```
Ac3SiGe2
1.0
-3.390 -2.401 1.528
4.756 -10.482 -5.920
6.684 -2.832 10.383
Ge Si Ac
8 4 12
Direct
0.750 0.311 0.529 Ge
0.750 0.984 0.697 Ge
0.750 0.516 0.197 Ge
0.250 0.016 0.303 Ge
0.750 0.189 0.029 Ge
0.250 0.811 0.971 Ge
0.250 0.689 0.471 Ge
0.250 0.484 0.803 Ge
0.250 0.368 0.629 Si
0.250 0.132 0.129 Si
0.750 0.868 0.871 Si
0.750 0.632 0.371 Si
0.750 0.947 0.116 Ac
0.250 0.379 0.068 Ac
0.750 0.621 0.932 Ac
0.250 0.706 0.204 Ac
0.750 0.879 0.432 Ac
0.750 0.294 0.796 Ac
0.750 0.553 0.616 Ac
0.250 0.053 0.884 Ac
0.250 0.447 0.384 Ac
0.250 0.121 0.568 Ac
0.750 0.206 0.296 Ac
0.250 0.794 0.704 Ac
```

# Ac2Si3Ge2

A relaxed structure of Ac2Si3Ge2 (PBE-GGA, Alexandria via LeMat-Bulk).

* D(E_F): 3.167 states/eV/cell
* energy relative to the elements, uncorrected: -0.37 eV/atom
* space-group type: P2/m

The structure in POSCAR format:
```
Ac2Si3Ge2
1.0
4.309 0.000 0.938
0.000 4.477 0.000
0.313 0.000 9.118
Ac Si Ge
2 3 2
Direct
0.859 0.500 0.280 Ac
0.141 0.500 0.720 Ac
0.280 0.000 0.441 Si
0.720 0.000 0.559 Si
0.000 0.000 0.000 Si
0.419 0.000 0.163 Ge
0.581 0.000 0.837 Ge
```